(1)
# SrZn4Cu, relaxed, DFT PBE-GGA
data_SrZn4Cu
_chemical_formula_sum 'Sr1 Zn4 Cu1'
_cell_length_a 4.626
_cell_length_b 4.626
_cell_length_c 6.937
_cell_angle_alpha 90.00
_cell_angle_beta 90.00
_cell_angle_gamma 90.00
_symmetry_space_group_name_H-M 'P 4/m m m'
_symmetry_Int_Tables_number 123
_symmetry_space_group_name_Hall '-P 4 2'
loop_
_atom_site_label
_atom_site_type_symbol
_atom_site_fract_x
_atom_site_fract_y
_atom_site_fract_z
Sr1 Sr 0.000 0.000 0.000
Zn1 Zn 0.000 0.500 0.500
Zn2 Zn 0.500 0.500 0.171
Cu1 Cu 0.500 0.500 0.500
# - E_form: 88 meV/atom
# - Mass density: 4.62 g/cm³
# - Energy above the most stable polymorph in this dataset: 0.57 eV/f.u.
# - Energy: -1.724 eV/atom



(2)
# Sr4Zn2Cu, relaxed, DFT PBE-GGA
data_Sr4Zn2Cu
_chemical_formula_sum 'Sr8 Zn4 Cu2'
_cell_length_a 6.031
_cell_length_b 6.031
_cell_length_c 15.135
_cell_angle_alpha 90.00
_cell_angle_beta 90.00
_cell_angle_gamma 90.00
_symmetry_space_group_name_H-M 'I 4/m m m'
_symmetry_Int_Tables_number 139
_symmetry_space_group_name_Hall '-I 4 2'
loop_
_atom_site_label
_atom_site_type_symbol
_atom_site_fract_x
_atom_site_fract_y
_atom_site_fract_z
Sr1 Sr 0.000 0.000 0.203
Sr2 Sr 0.000 0.500 0.000
Zn1 Zn 0.000 0.000 0.414
Cu1 Cu 0.000 0.000 0.000
# - E_form: 28 meV/atom
# - Mass density: 3.29 g/cm³
# - Energy: -1.882 eV/atom



(3)
# Sr2Zn12Cu5, relaxed, DFT PBE-GGA
data_Sr2Zn12Cu5
_chemical_formula_sum 'Sr6 Zn36 Cu15'
_cell_length_a 9.1115
_cell_length_b 9.1115
_cell_length_c 12.9971
_cell_angle_alpha 90.00
_cell_angle_beta 90.00
_cell_angle_gamma 120.00
_symmetry_space_group_name_H-M 'R -3 m'
_symmetry_Int_Tables_number 166
_symmetry_space_group_name_Hall '-R 3 2"'
loop_
_atom_site_label
_atom_site_type_symbol
_atom_site_fract_x
_atom_site_fract_y
_atom_site_fract_z
Sr1 Sr 0.0000 0.0000 0.1550
Zn1 Zn 0.0000 0.2853 0.5000
Zn2 Zn 0.0148 0.5074 0.3482
Cu1 Cu 0.0000 0.0000 0.3999
Cu2 Cu 0.0000 0.5000 0.0000
# - E_form: -157 meV/atom
# - Mass density: 6.81 g/cm³
# - Energy: -2.216 eV/atom



(4)
# SrZn3Cu2, relaxed, DFT PBE-GGA
data_SrZn3Cu2
_chemical_formula_sum 'Sr4 Zn12 Cu8'
_cell_length_a 10.195
_cell_length_b 8.330
_cell_length_c 5.182
_cell_angle_alpha 90.00
_cell_angle_beta 90.00
_cell_angle_gamma 90.00
_symmetry_space_group_name_H-M 'C m c m'
_symmetry_Int_Tables_number 63
_symmetry_space_group_name_Hall '-C 2c 2'
loop_
_atom_site_label
_atom_site_type_symbol
_atom_site_fract_x
_atom_site_fract_y
_atom_site_fract_z
Sr1 Sr 0.000 0.168 0.250
Zn1 Zn 0.000 0.435 0.750
Zn2 Zn 0.195 0.231 0.750
Cu1 Cu 0.213 0.500 0.000
# - E_form: -195 meV/atom
# - Mass density: 6.20 g/cm³
# - Energy: -2.478 eV/atom



(5)
# Sr3Zn2Cu3, relaxed, DFT PBE-GGA
data_Sr3Zn2Cu3
_chemical_formula_sum 'Sr12 Zn8 Cu12'
_cell_length_a 4.438
_cell_length_b 11.414
_cell_length_c 15.940
_cell_angle_alpha 90.00
_cell_angle_beta 90.00
_cell_angle_gamma 90.00
_symmetry_space_group_name_H-M 'C m c m'
_symmetry_Int_Tables_number 63
_symmetry_space_group_name_Hall '-C 2c 2'
loop_
_atom_site_label
_atom_site_type_symbol
_atom_site_fract_x
_atom_site_fract_y
_atom_site_fract_z
Sr1 Sr 0.000 0.082 0.250
Sr2 Sr 0.000 0.372 0.095
Zn1 Zn 0.000 0.337 0.610
Cu1 Cu 0.000 0.085 0.050
Cu2 Cu 0.000 0.219 0.750
# - E_form: -130 meV/atom
# - Mass density: 4.81 g/cm³
# - Energy: -2.616 eV/atom



(6)
# Sr2Zn5Cu, relaxed, DFT PBE-GGA
data_Sr2Zn5Cu
_chemical_formula_sum 'Sr8 Zn20 Cu4'
_cell_length_a 4.584
_cell_length_b 16.629
_cell_length_c 9.197
_cell_angle_alpha 90.00
_cell_angle_beta 90.00
_cell_angle_gamma 90.00
_symmetry_space_group_name_H-M 'C m c m'
_symmetry_Int_Tables_number 63
_symmetry_space_group_name_Hall '-C 2c 2'
loop_
_atom_site_label
_atom_site_type_symbol
_atom_site_fract_x
_atom_site_fract_y
_atom_site_fract_z
Sr1 Sr 0.000 0.000 0.000
Sr2 Sr 0.000 0.201 0.250
Zn1 Zn 0.000 0.186 0.611
Zn2 Zn 0.000 0.348 0.519
Zn3 Zn 0.000 0.408 0.250
Cu1 Cu 0.000 0.438 0.750
# - E_form: -176 meV/atom
# - Mass density: 5.36 g/cm³
# - Energy: -1.905 eV/atom



(7)
# SrZn6Cu, relaxed, DFT PBE-GGA
data_SrZn6Cu
_chemical_formula_sum 'Sr1 Zn6 Cu1'
_cell_length_a 4.316
_cell_length_b 4.316
_cell_length_c 8.142
_cell_angle_alpha 90.00
_cell_angle_beta 90.00
_cell_angle_gamma 90.00
_symmetry_space_group_name_H-M 'P 4/m m m'
_symmetry_Int_Tables_number 123
_symmetry_space_group_name_Hall '-P 4 2'
loop_
_atom_site_label
_atom_site_type_symbol
_atom_site_fract_x
_atom_site_fract_y
_atom_site_fract_z
Sr1 Sr 0.000 0.000 0.000
Zn1 Zn 0.000 0.500 0.337
Zn2 Zn 0.500 0.500 0.157
Cu1 Cu 0.000 0.000 0.500
# - E_form: -109 meV/atom
# - Mass density: 5.95 g/cm³
# - Energy: -1.786 eV/atom



(8)
# Sr3ZnCu3, relaxed, DFT PBE-GGA
data_Sr3ZnCu3
_chemical_formula_sum 'Sr12 Zn4 Cu12'
_cell_length_a 4.465
_cell_length_b 11.337
_cell_length_c 14.089
_cell_angle_alpha 90.00
_cell_angle_beta 90.00
_cell_angle_gamma 90.00
_symmetry_space_group_name_H-M 'C m c m'
_symmetry_Int_Tables_number 63
_symmetry_space_group_name_Hall '-C 2c 2'
loop_
_atom_site_label
_atom_site_type_symbol
_atom_site_fract_x
_atom_site_fract_y
_atom_site_fract_z
Sr1 Sr 0.000 0.012 0.250
Sr2 Sr 0.000 0.272 0.606
Zn1 Zn 0.000 0.000 0.000
Cu1 Cu 0.000 0.325 0.250
Cu2 Cu 0.000 0.442 0.081
# - E_form: -105 meV/atom
# - Mass density: 4.83 g/cm³
# - Energy: -2.763 eV/atom



(9)
# Sr3Zn8Cu, relaxed, DFT PBE-GGA
data_Sr3Zn8Cu
_chemical_formula_sum 'Sr9 Zn24 Cu3'
_cell_length_a 5.5109
_cell_length_b 5.5109
_cell_length_c 28.9941
_cell_angle_alpha 90.00
_cell_angle_beta 90.00
_cell_angle_gamma 120.00
_symmetry_space_group_name_H-M 'R 3 m'
_symmetry_Int_Tables_number 160
_symmetry_space_group_name_Hall 'R 3 -2"'
loop_
_atom_site_label
_atom_site_type_symbol
_atom_site_fract_x
_atom_site_fract_y
_atom_site_fract_z
Sr1 Sr 0.0000 0.0000 0.0000
Sr2 Sr 0.0000 0.0000 0.1285
Sr3 Sr 0.0000 0.0000 0.6145
Zn1 Zn 0.0000 0.0000 0.3013
Zn2 Zn 0.0000 0.0000 0.8124
Zn3 Zn 0.0015 0.5007 0.0628
Zn4 Zn 0.0043 0.5022 0.5565
Cu1 Cu 0.0000 0.0000 0.5101
# - E_form: -80 meV/atom
# - Mass density: 5.55 g/cm³
# - Energy: -1.691 eV/atom



(10)
# SrZn2Cu, relaxed, DFT PBE-GGA
data_SrZn2Cu
_chemical_formula_sum 'Sr2 Zn4 Cu2'
_cell_length_a 4.528
_cell_length_b 5.578
_cell_length_c 7.008
_cell_angle_alpha 90.00
_cell_angle_beta 90.00
_cell_angle_gamma 90.00
_symmetry_space_group_name_H-M 'I m m 2'
_symmetry_Int_Tables_number 44
_symmetry_space_group_name_Hall 'I 2 -2'
loop_
_atom_site_label
_atom_site_type_symbol
_atom_site_fract_x
_atom_site_fract_y
_atom_site_fract_z
Sr1 Sr 0.000 0.000 0.000
Zn1 Zn 0.000 0.000 0.483
Zn2 Zn 0.000 0.500 0.188
Cu1 Cu 0.000 0.500 0.819
# - E_form: -10 meV/atom
# - Mass density: 5.29 g/cm³
# - Energy: -2.091 eV/atom



(11)
# SrZn2Cu9, relaxed, DFT PBE-GGA
data_SrZn2Cu9
_chemical_formula_sum 'Sr4 Zn8 Cu36'
_cell_length_a 10.265
_cell_length_b 10.265
_cell_length_c 6.648
_cell_angle_alpha 90.00
_cell_angle_beta 90.00
_cell_angle_gamma 90.00
_symmetry_space_group_name_H-M 'I 41/a m d'
_symmetry_Int_Tables_number 141
loop_
_symmetry_equiv_pos_as_xyz
'x,y,z'
'-x,-y,-z'
'-y+1/4,x+3/4,z+1/4'
'y+1/4,-x+3/4,-z+1/4'
'-x+1/2,-y,z+1/2'
'x+1/2,y,-z+1/2'
'y+1/4,-x+1/4,z+3/4'
'-y+1/4,x+1/4,-z+3/4'
'x,-y,-z'
'-x,y,z'
'-y+1/4,-x+1/4,-z+3/4'
'y+1/4,x+1/4,z+3/4'
'-x+1/2,y,-z+1/2'
'x+1/2,-y,z+1/2'
'y+1/4,x+3/4,-z+1/4'
'-y+1/4,-x+3/4,z+1/4'
'x+1/2,y+1/2,z+1/2'
'-x+1/2,-y+1/2,-z+1/2'
'-y+3/4,x+1/4,z+3/4'
'y+3/4,-x+1/4,-z+3/4'
'-x,-y+1/2,z'
'x,y+1/2,-z'
'y+3/4,-x+3/4,z+1/4'
'-y+3/4,x+3/4,-z+1/4'
'x+1/2,-y+1/2,-z+1/2'
'-x+1/2,y+1/2,z+1/2'
'-y+3/4,-x+3/4,-z+1/4'
'y+3/4,x+3/4,z+1/4'
'-x,y+1/2,-z'
'x,-y+1/2,z'
'y+3/4,x+1/4,-z+3/4'
'-y+3/4,-x+1/4,z+3/4'
loop_
_atom_site_label
_atom_site_type_symbol
_atom_site_fract_x
_atom_site_fract_y
_atom_site_fract_z
Sr1 Sr 0.000 0.250 0.375
Zn1 Zn 0.000 0.000 0.000
Cu1 Cu 0.000 0.250 0.875
Cu2 Cu 0.124 0.041 0.684
# - E_form: -64 meV/atom
# - Mass density: 7.49 g/cm³
# - Energy: -3.489 eV/atom



(12)
# Sr2Zn15Cu2, relaxed, DFT PBE-GGA
data_Sr2Zn15Cu2
_chemical_formula_sum 'Sr6 Zn45 Cu6'
_cell_length_a 9.1252
_cell_length_b 9.1252
_cell_length_c 13.4541
_cell_angle_alpha 90.00
_cell_angle_beta 90.00
_cell_angle_gamma 120.00
_symmetry_space_group_name_H-M 'R -3 m'
_symmetry_Int_Tables_number 166
_symmetry_space_group_name_Hall '-R 3 2"'
loop_
_atom_site_label
_atom_site_type_symbol
_atom_site_fract_x
_atom_site_fract_y
_atom_site_fract_z
Sr1 Sr 0.0000 0.0000 0.1608
Zn1 Zn 0.0000 0.2829 0.5000
Zn2 Zn 0.0000 0.5000 0.0000
Zn3 Zn 0.0039 0.5019 0.3452
Cu1 Cu 0.0000 0.0000 0.4032
# - E_form: -156 meV/atom
# - Mass density: 6.59 g/cm³
# - Energy: -1.770 eV/atom



(13)
# Sr3Zn4Cu2, relaxed, DFT PBE-GGA
data_Sr3Zn4Cu2
_chemical_formula_sum 'Sr6 Zn8 Cu4'
_cell_length_a 4.5196
_cell_length_b 4.5196
_cell_length_c 24.9373
_cell_angle_alpha 90.00
_cell_angle_beta 90.00
_cell_angle_gamma 120.00
_symmetry_space_group_name_H-M 'P -6 m 2'
_symmetry_Int_Tables_number 187
_symmetry_space_group_name_Hall 'P -6 2'
loop_
_atom_site_label
_atom_site_type_symbol
_atom_site_fract_x
_atom_site_fract_y
_atom_site_fract_z
Sr1 Sr 0.0000 0.0000 0.0791
Sr2 Sr 0.0000 0.0000 0.2516
Sr3 Sr 0.0000 0.0000 0.4144
Zn1 Zn 0.3333 0.6667 0.1663
Zn2 Zn 0.3333 0.6667 0.3328
Zn3 Zn 0.3333 0.6667 0.5000
Zn4 Zn 0.6667 0.3333 0.1662
Zn5 Zn 0.6667 0.3333 0.5000
Cu1 Cu 0.3333 0.6667 0.0000
Cu2 Cu 0.6667 0.3333 0.0000
Cu3 Cu 0.6667 0.3333 0.3328
# - E_form: -180 meV/atom
# - Mass density: 4.91 g/cm³
# - Energy above the most stable polymorph in this dataset: 0.00 eV/f.u.
# - Energy: -2.217 eV/atom



(14)
# Sr3Zn4Cu2, relaxed, DFT PBE-GGA
data_Sr3Zn4Cu2
_chemical_formula_sum 'Sr6 Zn8 Cu4'
_cell_length_a 11.223
_cell_length_b 4.555
_cell_length_c 8.992
_cell_angle_alpha 90.00
_cell_angle_beta 108.34
_cell_angle_gamma 90.00
_symmetry_space_group_name_H-M 'C 1 2/m 1'
_symmetry_Int_Tables_number 12
_symmetry_space_group_name_Hall '-C 2y'
loop_
_atom_site_label
_atom_site_type_symbol
_atom_site_fract_x
_atom_site_fract_y
_atom_site_fract_z
Sr1 Sr 0.000 0.000 0.000
Sr2 Sr 0.127 0.500 0.686
Zn1 Zn 0.122 0.000 0.419
Zn2 Zn 0.226 0.500 0.067
Cu1 Cu 0.166 0.500 0.318
# - E_form: -163 meV/atom
# - Mass density: 4.96 g/cm³
# - Energy above the most stable polymorph in this dataset: 0.15 eV/f.u.
# - Energy: -2.200 eV/atom



(15)
# SrZn2Cu, relaxed, DFT PBE-GGA
data_SrZn2Cu
_chemical_formula_sum 'Sr2 Zn4 Cu2'
_cell_length_a 5.719
_cell_length_b 10.669
_cell_length_c 3.675
_cell_angle_alpha 90.00
_cell_angle_beta 124.58
_cell_angle_gamma 90.00
_symmetry_space_group_name_H-M 'C 1 2/m 1'
_symmetry_Int_Tables_number 12
_symmetry_space_group_name_Hall '-C 2y'
loop_
_atom_site_label
_atom_site_type_symbol
_atom_site_fract_x
_atom_site_fract_y
_atom_site_fract_z
Sr1 Sr 0.000 0.000 0.000
Zn1 Zn 0.250 0.250 0.500
Cu1 Cu 0.000 0.500 0.000
# - E_form: 273 meV/atom
# - Mass density: 5.07 g/cm³
# - Energy: -1.809 eV/atom



(16)
# SrZrCu2, relaxed, DFT PBE-GGA
data_SrZrCu2
_chemical_formula_sum 'Sr2 Zr2 Cu4'
_cell_length_a 7.408
_cell_length_b 4.288
_cell_length_c 6.696
_cell_angle_alpha 90.00
_cell_angle_beta 111.87
_cell_angle_gamma 90.00
_symmetry_space_group_name_H-M 'C 1 m 1'
_symmetry_Int_Tables_number 8
_symmetry_space_group_name_Hall 'C -2y'
loop_
_atom_site_label
_atom_site_type_symbol
_atom_site_fract_x
_atom_site_fract_y
_atom_site_fract_z
Sr1 Sr 0.000 0.000 0.000
Zr1 Zr 0.317 0.500 0.452
Cu1 Cu 0.046 0.500 0.638
Cu2 Cu 0.210 0.000 0.631
# - E_form: 137 meV/atom
# - Mass density: 5.15 g/cm³
# - Energy above the most stable polymorph in this dataset: 0.58 eV/f.u.
# - Energy: -4.468 eV/atom



(17)
# SrZr4Cu, relaxed, DFT PBE-GGA
data_SrZr4Cu
_chemical_formula_sum 'Sr4 Zr16 Cu4'
_cell_length_a 8.464
_cell_length_b 8.464
_cell_length_c 8.464
_cell_angle_alpha 90.00
_cell_angle_beta 90.00
_cell_angle_gamma 90.00
_symmetry_space_group_name_H-M 'F -4 3 m'
_symmetry_Int_Tables_number 216
_symmetry_space_group_name_Hall 'F -4 2 3'
loop_
_atom_site_label
_atom_site_type_symbol
_atom_site_fract_x
_atom_site_fract_y
_atom_site_fract_z
Sr1 Sr 0.000 0.000 0.000
Zr1 Zr 0.124 0.124 0.624
Cu1 Cu 0.250 0.250 0.250
# - E_form: 602 meV/atom
# - Mass density: 5.65 g/cm³
# - Energy: -6.059 eV/atom



(18)
# SrZrCu10, relaxed, DFT PBE-GGA
data_SrZrCu10
_chemical_formula_sum 'Sr1 Zr1 Cu10'
_cell_length_a 4.053
_cell_length_b 5.108
_cell_length_c 8.780
_cell_angle_alpha 90.00
_cell_angle_beta 90.00
_cell_angle_gamma 90.00
_symmetry_space_group_name_H-M 'P m m m'
_symmetry_Int_Tables_number 47
_symmetry_space_group_name_Hall '-P 2 2'
loop_
_atom_site_label
_atom_site_type_symbol
_atom_site_fract_x
_atom_site_fract_y
_atom_site_fract_z
Sr1 Sr 0.000 0.000 0.000
Zr1 Zr 0.000 0.500 0.500
Cu1 Cu 0.000 0.000 0.344
Cu2 Cu 0.000 0.500 0.181
Cu3 Cu 0.500 0.000 0.500
Cu4 Cu 0.500 0.261 0.267
Cu5 Cu 0.500 0.500 0.000
# - E_form: -52 meV/atom
# - Mass density: 7.44 g/cm³
# - Energy: -4.318 eV/atom



(19)
# SrZrCu2, relaxed, DFT PBE-GGA
data_SrZrCu2
_chemical_formula_sum 'Sr1 Zr1 Cu2'
_cell_length_a 3.453
_cell_length_b 3.466
_cell_length_c 7.191
_cell_angle_alpha 90.00
_cell_angle_beta 90.00
_cell_angle_gamma 90.00
_symmetry_space_group_name_H-M 'P m m m'
_symmetry_Int_Tables_number 47
_symmetry_space_group_name_Hall '-P 2 2'
loop_
_atom_site_label
_atom_site_type_symbol
_atom_site_fract_x
_atom_site_fract_y
_atom_site_fract_z
Sr1 Sr 0.000 0.000 0.000
Zr1 Zr 0.000 0.000 0.500
Cu1 Cu 0.500 0.500 0.313
# - E_form: -7 meV/atom
# - Mass density: 5.90 g/cm³
# - Energy above the most stable polymorph in this dataset: 0.00 eV/f.u.
# - Energy: -4.612 eV/atom



(20)
# SrZr2Cu2, relaxed, DFT PBE-GGA
data_SrZr2Cu2
_chemical_formula_sum 'Sr2 Zr4 Cu4'
_cell_length_a 4.867
_cell_length_b 4.867
_cell_length_c 10.342
_cell_angle_alpha 90.00
_cell_angle_beta 90.00
_cell_angle_gamma 90.00
_symmetry_space_group_name_H-M 'I 4/m m m'
_symmetry_Int_Tables_number 139
_symmetry_space_group_name_Hall '-I 4 2'
loop_
_atom_site_label
_atom_site_type_symbol
_atom_site_fract_x
_atom_site_fract_y
_atom_site_fract_z
Sr1 Sr 0.000 0.000 0.000
Zr1 Zr 0.000 0.000 0.349
Cu1 Cu 0.000 0.500 0.250
# - E_form: 311 meV/atom
# - Mass density: 5.38 g/cm³
# - Energy above the most stable polymorph in this dataset: 0.64 eV/f.u.
# - Energy: -5.083 eV/atom